Entry 1:
Density functional theory data (GGA-PBE) for LaGeAu3 after structural relaxation.

Summary:
calculated formation energy = -0.31 eV per atom
electronic total energy = -4.183 eV/atom
size of the total moment = 0.00 μB per formula unit
excess energy over the best structure of this formula in the dataset = 264.3 meV/atom

Geometry as POSCAR:
```
LaGeAu3
1.0
4.9662 0.0000 0.0000
0.0000 4.9662 0.0000
0.0000 0.0000 4.9662
La Ge Au
1 1 3
Cartesian
0.0000 0.0000 0.0000 La
2.4831 2.4831 2.4831 Ge
0.0000 2.4831 2.4831 Au
2.4831 0.0000 2.4831 Au
2.4831 2.4831 0.0000 Au
```

=====

Entry 2:
Density functional theory data (GGA-PBE) for RePCl2 after structural relaxation.

Summary:
raw formation energy = 1345 meV per atom
electronic total energy = -4.043 eV/atom
size of the total moment = 0.00 μB per formula unit
excess energy over the best structure of this formula in the dataset = 1627.4 meV/atom

Geometry as POSCAR:
```
RePCl2
1.0
0.0000 3.1430 3.1430
3.1430 0.0000 3.1430
3.1430 3.1430 0.0000
Re P Cl
1 1 2
Cartesian
0.0000 0.0000 0.0000 Re
3.1430 3.1430 3.1430 P
1.5715 1.5715 1.5715 Cl
4.7145 4.7145 4.7145 Cl
```